{
  "formula": "FeSnO2F",
  "functional": "PBE+U",
  "state": "optimized geometry",
  "sg": "No. 123",
  "dft_energy_ev_per_atom": -5.280,
  "cell": [[-3.182, -0.779, 2.402], [2.012, -3.118, 1.654], [1.595, 2.596, 2.955]],
  "species": ["F", "Sn", "O", "O", "Fe"],
  "frac_coords": [[0.000, 0.000, 0.500], [0.000, 0.000, 0.000], [0.000, 0.500, 0.000], [0.500, 0.000, 0.000], [0.500, 0.500, 0.500]]
}